VASP calculation (GGA+U) on a relaxed Nd4FeCo3As4O4 crystal.

Computed properties:
size of the total moment = 9.13 μB/f.u.
calculated total energy = -6.475 eV per atom
symmetry = Pmm2 (25)

a b c (Å): 4.020 8.042 8.885
angles (deg): 90.00 90.00 90.00
Each line ends with the local moment (μB).
Positions (direct):
Nd: 0.500 0.755 0.867  0.01
Co: 0.500 0.500 0.510  1.57
Co: 0.000 0.247 0.499  1.96
Nd: 0.500 0.245 0.867  0.01
O: 0.000 0.248 0.000  0.00
As: 0.000 0.000 0.672  0.00
As: 0.500 0.268 0.335  -0.04
Nd: 0.000 0.500 0.132  0.01
As: 0.000 0.500 0.649  -0.01
O: 0.500 0.000 0.010  0.00
O: 0.500 0.500 0.991  0.00
Fe: 0.500 0.000 0.492  3.56
O: 0.000 0.752 0.000  0.00
Nd: 0.000 0.000 0.141  0.01
Co: 0.000 0.753 0.499  1.96
As: 0.500 0.732 0.335  -0.04